# KY2Zn

A relaxed KY2Zn crystal (PBE, Alexandria).

## Properties
Its space-group type is P4/mmm, No. 123. The total energy is -3.384 eV per atom. The formation energy is 0.44 eV per atom. As for the volume: 118.42 Å³ per cell.

Structure (POSCAR):
```
KY2Zn
1.0
5.285 0.000 0.000
0.000 5.285 0.000
0.000 0.000 4.240
K Y Zn
1 2 1
Direct
0.000 0.000 0.000
0.000 0.500 0.500
0.500 0.000 0.500
0.500 0.500 0.000
```